YHoSbTe: optimized geometry, PBE-GGA.

## Properties
Raw total energy: -5.7889 eV/atom
N(E_F): 0.7933 states/eV/atom

```
data_YHoSbTe
_chemical_formula_sum 'Y3 Ho3 Sb3 Te3'
_cell_length_a 4.2863
_cell_length_b 4.2863
_cell_length_c 22.5499
_cell_angle_alpha 90.00
_cell_angle_beta 90.00
_cell_angle_gamma 120.00
_symmetry_space_group_name_H-M 'R 3 m'
_symmetry_Int_Tables_number 160
_symmetry_space_group_name_Hall 'R 3 -2"'
loop_
_atom_site_label
_atom_site_type_symbol
_atom_site_fract_x
_atom_site_fract_y
_atom_site_fract_z
Y1 Y 0.0000 0.0000 0.0000
Ho1 Ho 0.0000 0.0000 0.8216
Sb1 Sb 0.0000 0.0000 0.4131
Te1 Te 0.0000 0.0000 0.2425
```

---

TeRu2Se: optimized geometry, PBE-GGA.

## Properties
Raw total energy: -5.7585 eV/atom
N(E_F): 1.2966 states/eV/atom

```
data_TeRu2Se
_chemical_formula_sum 'Te2 Ru4 Se2'
_cell_length_a 3.842
_cell_length_b 3.842
_cell_length_c 9.228
_cell_angle_alpha 90.00
_cell_angle_beta 90.00
_cell_angle_gamma 90.00
_symmetry_space_group_name_H-M 'I -4 m 2'
_symmetry_Int_Tables_number 119
_symmetry_space_group_name_Hall 'I -4 -2'
loop_
_atom_site_label
_atom_site_type_symbol
_atom_site_fract_x
_atom_site_fract_y
_atom_site_fract_z
Te1 Te 0.000 0.000 0.000
Ru1 Ru 0.000 0.000 0.500
Ru2 Ru 0.000 0.500 0.750
Se1 Se 0.000 0.500 0.250
```

---

LiBeSCl2: optimized geometry, PBE-GGA.

## Properties
Raw total energy: -2.4997 eV/atom
N(E_F): 0.5229 states/eV/atom

```
data_LiBeSCl2
_chemical_formula_sum 'Li1 Be1 S1 Cl2'
_cell_length_a 4.228
_cell_length_b 4.228
_cell_length_c 5.692
_cell_angle_alpha 90.00
_cell_angle_beta 90.00
_cell_angle_gamma 90.00
_symmetry_space_group_name_H-M 'P 4/m m m'
_symmetry_Int_Tables_number 123
_symmetry_space_group_name_Hall '-P 4 2'
loop_
_atom_site_label
_atom_site_type_symbol
_atom_site_fract_x
_atom_site_fract_y
_atom_site_fract_z
Li1 Li 0.000 0.000 0.000
Be1 Be 0.500 0.500 0.500
S1 S 0.000 0.000 0.500
Cl1 Cl 0.000 0.500 0.000
```

---

Pm6Dy8Tl: optimized geometry, PBE-GGA.

## Properties
N(E_F): 1.1546 states/eV/atom
Energy of formation: 8 kJ per mole of atoms

```
data_Pm6Dy8Tl
_chemical_formula_sum 'Pm6 Dy8 Tl1'
_cell_length_a 9.4433
_cell_length_b 9.4433
_cell_length_c 6.3977
_cell_angle_alpha 90.00
_cell_angle_beta 90.00
_cell_angle_gamma 120.00
_symmetry_space_group_name_H-M 'P -3'
_symmetry_Int_Tables_number 147
_symmetry_space_group_name_Hall '-P 3'
loop_
_atom_site_label
_atom_site_type_symbol
_atom_site_fract_x
_atom_site_fract_y
_atom_site_fract_z
Pm1 Pm 0.0912 0.4517 0.1821
Dy1 Dy 0.0392 0.2637 0.6867
Dy2 Dy 0.3333 0.6667 0.6676
Tl1 Tl 0.0000 0.0000 0.0000
```

---

PmMnTl2S4: optimized geometry, PBE-GGA.

## Properties
Raw total energy: -5.2367 eV/atom
N(E_F): 0.5131 states/eV/atom

```
data_PmMnTl2S4
_chemical_formula_sum 'Pm4 Mn4 Tl8 S16'
_cell_length_a 11.611
_cell_length_b 11.554
_cell_length_c 8.056
_cell_angle_alpha 90.00
_cell_angle_beta 133.80
_cell_angle_gamma 90.00
_symmetry_space_group_name_H-M 'C 1 2/c 1'
_symmetry_Int_Tables_number 15
_symmetry_space_group_name_Hall '-C 2yc'
loop_
_atom_site_label
_atom_site_type_symbol
_atom_site_fract_x
_atom_site_fract_y
_atom_site_fract_z
Pm1 Pm 0.250 0.250 0.000
Mn1 Mn 0.000 0.000 0.000
Tl1 Tl 0.000 0.500 0.000
Tl2 Tl 0.250 0.250 0.500
S1 S 0.000 0.224 0.521
S2 S 0.200 0.007 0.952
```

---

Ta2V3W5: optimized geometry, PBE-GGA.

## Properties
N(E_F): 1.0844 states/eV/atom
Energy of formation: 50 kJ per mole of atoms

```
data_Ta2V3W5
_chemical_formula_sum 'Ta8 V12 W20'
_cell_length_a 9.895
_cell_length_b 13.636
_cell_length_c 4.979
_cell_angle_alpha 90.00
_cell_angle_beta 90.00
_cell_angle_gamma 90.00
_symmetry_space_group_name_H-M 'I b a m'
_symmetry_Int_Tables_number 72
_symmetry_space_group_name_Hall '-I 2 2c'
loop_
_atom_site_label
_atom_site_type_symbol
_atom_site_fract_x
_atom_site_fract_y
_atom_site_fract_z
Ta1 Ta 0.096 0.175 0.000
V1 V 0.000 0.500 0.250
V2 V 0.249 0.328 0.000
W1 W 0.000 0.000 0.250
W2 W 0.094 0.328 0.500
W3 W 0.243 0.500 0.250
```

---

Ba2SiRu: optimized geometry, PBE-GGA.

## Properties
Raw total energy: -4.1241 eV/atom
N(E_F): 1.5505 states/eV/atom

```
data_Ba2SiRu
_chemical_formula_sum 'Ba4 Si2 Ru2'
_cell_length_a 4.991
_cell_length_b 4.991
_cell_length_c 9.046
_cell_angle_alpha 90.00
_cell_angle_beta 90.00
_cell_angle_gamma 90.00
_symmetry_space_group_name_H-M 'I 4/m m m'
_symmetry_Int_Tables_number 139
_symmetry_space_group_name_Hall '-I 4 2'
loop_
_atom_site_label
_atom_site_type_symbol
_atom_site_fract_x
_atom_site_fract_y
_atom_site_fract_z
Ba1 Ba 0.000 0.500 0.250
Si1 Si 0.000 0.000 0.000
Ru1 Ru 0.000 0.000 0.500
```

---

Nd5Dy6Er: optimized geometry, PBE-GGA.

## Properties
N(E_F): 1.3349 states/eV/atom
Energy of formation: 2 kJ per mole of atoms

```
data_Nd5Dy6Er
_chemical_formula_sum 'Nd10 Dy12 Er2'
_cell_length_a 5.094
_cell_length_b 10.137
_cell_length_c 15.285
_cell_angle_alpha 90.00
_cell_angle_beta 90.00
_cell_angle_gamma 90.00
_symmetry_space_group_name_H-M 'I m m m'
_symmetry_Int_Tables_number 71
_symmetry_space_group_name_Hall '-I 2 2'
loop_
_atom_site_label
_atom_site_type_symbol
_atom_site_fract_x
_atom_site_fract_y
_atom_site_fract_z
Nd1 Nd 0.000 0.000 0.000
Nd2 Nd 0.000 0.000 0.335
Nd3 Nd 0.000 0.500 0.333
Dy1 Dy 0.000 0.248 0.500
Dy2 Dy 0.000 0.251 0.166
Er1 Er 0.000 0.500 0.000
```

---

Tb3PmN4: optimized geometry, PBE-GGA.

## Properties
Raw total energy: -8.0852 eV/atom
N(E_F): 0.1193 states/eV/atom

```
data_Tb3PmN4
_chemical_formula_sum 'Tb3 Pm1 N4'
_cell_length_a 4.991
_cell_length_b 4.991
_cell_length_c 4.991
_cell_angle_alpha 90.00
_cell_angle_beta 90.00
_cell_angle_gamma 90.00
_symmetry_space_group_name_H-M 'P m -3 m'
_symmetry_Int_Tables_number 221
_symmetry_space_group_name_Hall '-P 4 2 3'
loop_
_atom_site_label
_atom_site_type_symbol
_atom_site_fract_x
_atom_site_fract_y
_atom_site_fract_z
Tb1 Tb 0.000 0.000 0.500
Pm1 Pm 0.500 0.500 0.500
N1 N 0.000 0.000 0.000
N2 N 0.000 0.500 0.500
```

---

Sr3RhAu: optimized geometry, PBE-GGA.

## Properties
N(E_F): 0.4596 states/eV/atom
Energy of formation: -42 kJ per mole of atoms

```
data_Sr3RhAu
_chemical_formula_sum 'Sr12 Rh4 Au4'
_cell_length_a 9.381
_cell_length_b 7.951
_cell_length_c 8.844
_cell_angle_alpha 90.00
_cell_angle_beta 103.66
_cell_angle_gamma 90.00
_symmetry_space_group_name_H-M 'P 1 21/c 1'
_symmetry_Int_Tables_number 14
_symmetry_space_group_name_Hall '-P 2ybc'
loop_
_atom_site_label
_atom_site_type_symbol
_atom_site_fract_x
_atom_site_fract_y
_atom_site_fract_z
Sr1 Sr 0.047 0.015 0.210
Sr2 Sr 0.272 0.646 0.088
Sr3 Sr 0.347 0.195 0.966
Rh1 Rh 0.065 0.160 0.529
Au1 Au 0.416 0.543 0.789
```

---

La7Er12Tm: optimized geometry, PBE-GGA.

## Properties
N(E_F): 1.4846 states/eV/atom
Energy of formation: 62 kJ per mole of atoms

```
data_La7Er12Tm
_chemical_formula_sum 'La14 Er24 Tm2'
_cell_length_a 11.308
_cell_length_b 11.308
_cell_length_c 11.308
_cell_angle_alpha 90.00
_cell_angle_beta 90.00
_cell_angle_gamma 90.00
_symmetry_space_group_name_H-M 'I m -3 m'
_symmetry_Int_Tables_number 229
_symmetry_space_group_name_Hall '-I 4 2 3'
loop_
_atom_site_label
_atom_site_type_symbol
_atom_site_fract_x
_atom_site_fract_y
_atom_site_fract_z
La1 La 0.000 0.000 0.500
La2 La 0.250 0.250 0.250
Er1 Er 0.000 0.244 0.244
Tm1 Tm 0.000 0.000 0.000
```

---

NaAc2Ge3Pt4: optimized geometry, PBE-GGA.

## Properties
N(E_F): 0.4678 states/eV/atom
Energy of formation: -80 kJ per mole of atoms

```
data_NaAc2Ge3Pt4
_chemical_formula_sum 'Na1 Ac2 Ge3 Pt4'
_cell_length_a 4.456
_cell_length_b 4.456
_cell_length_c 10.661
_cell_angle_alpha 90.00
_cell_angle_beta 90.00
_cell_angle_gamma 90.00
_symmetry_space_group_name_H-M 'P -4 m 2'
_symmetry_Int_Tables_number 115
_symmetry_space_group_name_Hall 'P -4 -2'
loop_
_atom_site_label
_atom_site_type_symbol
_atom_site_fract_x
_atom_site_fract_y
_atom_site_fract_z
Na1 Na 0.000 0.000 0.000
Ac1 Ac 0.000 0.500 0.746
Ge1 Ge 0.000 0.500 0.379
Ge2 Ge 0.500 0.500 0.000
Pt1 Pt 0.000 0.000 0.500
Pt2 Pt 0.000 0.500 0.145
Pt3 Pt 0.500 0.500 0.500
```

---

Bi2PbS2: optimized geometry, PBE-GGA.

## Properties
Raw total energy: -3.8431 eV/atom
N(E_F): 0.6051 states/eV/atom

```
data_Bi2PbS2
_chemical_formula_sum 'Bi4 Pb2 S4'
_cell_length_a 4.883
_cell_length_b 4.883
_cell_length_c 12.149
_cell_angle_alpha 90.00
_cell_angle_beta 90.00
_cell_angle_gamma 90.00
_symmetry_space_group_name_H-M 'I 4/m m m'
_symmetry_Int_Tables_number 139
_symmetry_space_group_name_Hall '-I 4 2'
loop_
_atom_site_label
_atom_site_type_symbol
_atom_site_fract_x
_atom_site_fract_y
_atom_site_fract_z
Bi1 Bi 0.000 0.000 0.135
Pb1 Pb 0.000 0.000 0.500
S1 S 0.000 0.500 0.250
```

---

Fe: optimized geometry, PBE-GGA.

## Properties
N(E_F): 1.2728 states/eV/atom
Energy of formation: 9 kJ per mole of atoms

```
data_Fe
_chemical_formula_sum 'Fe8'
_cell_length_a 4.525
_cell_length_b 4.525
_cell_length_c 4.525
_cell_angle_alpha 90.00
_cell_angle_beta 90.00
_cell_angle_gamma 90.00
_symmetry_space_group_name_H-M 'P m -3 n'
_symmetry_Int_Tables_number 223
_symmetry_space_group_name_Hall '-P 4n 2 3'
loop_
_atom_site_label
_atom_site_type_symbol
_atom_site_fract_x
_atom_site_fract_y
_atom_site_fract_z
Fe1 Fe 0.000 0.000 0.000
Fe2 Fe 0.000 0.250 0.500
```

---

K2PPtBr: optimized geometry, PBE-GGA.

## Properties
Raw total energy: -3.8524 eV/atom
N(E_F): 0.5412 states/eV/atom

```
data_K2PPtBr
_chemical_formula_sum 'K2 P1 Pt1 Br1'
_cell_length_a 6.353
_cell_length_b 6.353
_cell_length_c 4.345
_cell_angle_alpha 90.00
_cell_angle_beta 90.00
_cell_angle_gamma 90.00
_symmetry_space_group_name_H-M 'P 4/m m m'
_symmetry_Int_Tables_number 123
_symmetry_space_group_name_Hall '-P 4 2'
loop_
_atom_site_label
_atom_site_type_symbol
_atom_site_fract_x
_atom_site_fract_y
_atom_site_fract_z
K1 K 0.000 0.500 0.000
P1 P 0.000 0.000 0.500
Pt1 Pt 0.000 0.000 0.000
Br1 Br 0.500 0.500 0.500
```

---

NaSr3Dy2Se6: optimized geometry, PBE-GGA.

## Properties
Raw total energy: -4.9074 eV/atom
N(E_F): 0.3053 states/eV/atom

```
data_NaSr3Dy2Se6
_chemical_formula_sum 'Na2 Sr6 Dy4 Se12'
_cell_length_a 7.411
_cell_length_b 12.826
_cell_length_c 7.428
_cell_angle_alpha 90.00
_cell_angle_beta 109.39
_cell_angle_gamma 90.00
_symmetry_space_group_name_H-M 'C 1 2/m 1'
_symmetry_Int_Tables_number 12
_symmetry_space_group_name_Hall '-C 2y'
loop_
_atom_site_label
_atom_site_type_symbol
_atom_site_fract_x
_atom_site_fract_y
_atom_site_fract_z
Na1 Na 0.000 0.000 0.000
Sr1 Sr 0.000 0.163 0.500
Sr2 Sr 0.000 0.500 0.500
Dy1 Dy 0.000 0.333 0.000
Se1 Se 0.233 0.500 0.229
Se2 Se 0.250 0.172 0.232
```

---

Eu3Sn5H12: optimized geometry, PBE-GGA.

## Properties
Raw total energy: -4.4427 eV/atom
N(E_F): 0.2935 states/eV/atom

```
data_Eu3Sn5H12
_chemical_formula_sum 'Eu24 Sn40 H96'
_cell_length_a 13.231
_cell_length_b 13.231
_cell_length_c 13.231
_cell_angle_alpha 90.00
_cell_angle_beta 90.00
_cell_angle_gamma 90.00
_symmetry_space_group_name_H-M 'I a -3 d'
_symmetry_Int_Tables_number 230
_symmetry_space_group_name_Hall '-I 4bd 2c 3'
loop_
_atom_site_label
_atom_site_type_symbol
_atom_site_fract_x
_atom_site_fract_y
_atom_site_fract_z
Eu1 Eu 0.000 0.250 0.125
Sn1 Sn 0.000 0.000 0.000
Sn2 Sn 0.000 0.250 0.375
H1 H 0.005 0.074 0.655
```

---

La2HCl2: optimized geometry, PBE-GGA.

## Properties
Raw total energy: -4.1682 eV/atom
N(E_F): 0.7739 states/eV/atom

```
data_La2HCl2
_chemical_formula_sum 'La4 H2 Cl4'
_cell_length_a 4.424
_cell_length_b 4.424
_cell_length_c 13.647
_cell_angle_alpha 90.00
_cell_angle_beta 90.00
_cell_angle_gamma 90.00
_symmetry_space_group_name_H-M 'I 4/m m m'
_symmetry_Int_Tables_number 139
_symmetry_space_group_name_Hall '-I 4 2'
loop_
_atom_site_label
_atom_site_type_symbol
_atom_site_fract_x
_atom_site_fract_y
_atom_site_fract_z
La1 La 0.000 0.000 0.106
H1 H 0.000 0.000 0.500
Cl1 Cl 0.000 0.500 0.250
```

---

LiAlZn3: optimized geometry, PBE-GGA.

## Properties
N(E_F): 0.2769 states/eV/atom
Energy of formation: -8 kJ per mole of atoms

```
data_LiAlZn3
_chemical_formula_sum 'Li2 Al2 Zn6'
_cell_length_a 5.160
_cell_length_b 5.056
_cell_length_c 6.299
_cell_angle_alpha 90.00
_cell_angle_beta 94.72
_cell_angle_gamma 90.00
_symmetry_space_group_name_H-M 'P 1 21/m 1'
_symmetry_Int_Tables_number 11
_symmetry_space_group_name_Hall '-P 2yb'
loop_
_atom_site_label
_atom_site_type_symbol
_atom_site_fract_x
_atom_site_fract_y
_atom_site_fract_z
Li1 Li 0.121 0.250 0.387
Al1 Al 0.090 0.750 0.098
Zn1 Zn 0.349 0.001 0.809
Zn2 Zn 0.375 0.750 0.455
```

---

In order of appearance, V = 359, 136, 102, 494, 780, 672, 225, 789, 124, 641, 1446, 212, 290, 93, 175, 666, 2316, 267, 164 Å³ per cell.
In order of appearance, M_tot = 0.00, 0.00, 0.58, 0.00, 16.75, 0.00, 0.49, 0.00, 0.00, 0.00, 0.08, 0.00, 0.00, 16.87, 0.00, 0.00, 162.47, 0.00, 0.00 μB/cell.